First-principles (GGA-PBE) data for a geometry-optimized Pu8CuRh6 structure, as listed in the Alexandria database.

The theoretical density is 15.36 Mg/m³. Its formation enthalpy at 0 K is -51 meV per atom.

It has space group R-3 (No. 148, hexagonal axes), with a = 6.2509 Å, b = 6.2509 Å, c = 25.2368 Å, α = 90.00°, β = 90.00° and γ = 120.00°. Symmetry generates all atoms from Pu at (0.0000, 0.0000, 0.1630), Pu at (0.0014, 0.3395, 0.6426), Cu at (0.0000, 0.0000, 0.5000) and Rh at (0.0131, 0.2932, 0.4315).